# 1
The following is a meta-GGA SCAN calculation of NaTi2F at its PBEsol-relaxed geometry, from the Alexandria database.

Cell and atoms, written as POSCAR:
```
NaTi2F
1.0
-3.7660 3.7660 2.2017
3.7660 -3.7660 2.2017
3.7660 3.7660 -2.2017
Na Ti F
2 4 2
direct
0.0000 0.0000 0.0000 Na
0.7500 0.2500 0.5000 Na
0.2474 0.6250 0.1224 Ti
0.3750 0.4974 0.6224 Ti
0.5026 0.1250 0.8776 Ti
0.8750 0.7526 0.3776 Ti
0.2500 0.7500 0.5000 F
0.5000 0.5000 0.0000 F
```

Calculated values
As for the raw total energy: -82.7 eV/cell. The volume is 15.6 A^3/atom. As for the theoretical density: 3.7 g/cm3. The value obtained for the raw formation energy is -8.98 kcal/mol of atoms.

# 2
The following is a meta-GGA SCAN calculation of Na3TiF6 at its PBEsol-relaxed geometry, from the Alexandria database.

Cell and atoms, written as POSCAR:
```
Na3TiF6
1.0
0.0000 4.1060 4.1060
4.1060 0.0000 4.1060
4.1060 4.1060 0.0000
Na Ti F
3 1 6
direct
0.0000 0.0000 0.0000 Na
0.2500 0.2500 0.2500 Na
0.7500 0.7500 0.7500 Na
0.5000 0.5000 0.5000 Ti
0.2624 0.2624 0.7376 F
0.2624 0.7376 0.2624 F
0.2624 0.7376 0.7376 F
0.7376 0.2624 0.2624 F
0.7376 0.2624 0.7376 F
0.7376 0.7376 0.2624 F
```

Calculated values
As for the polymorph energy (0 for the lowest one): 137 meV/atom. As for the raw total energy: -80.9 eV/cell. The volume is 13.8 A^3/atom. As for the theoretical density: 2.8 g/cm3. The value obtained for the raw formation energy is -71.48 kcal/mol of atoms.